This record from Alexandria via LeMat-Bulk describes a geometry-optimized AlCoNi2C structure. The functional is PBE.

Cell lengths 3.7726, 3.7726, 3.7197 Å; angles 90.00, 90.00, 90.00 degrees
Fractional positions:
1 Ni 0.0000 0.5000 0.0000
2 Ni 0.5000 0.0000 0.0000
3 C 0.0000 0.0000 0.0000
4 Co 0.0000 0.0000 0.5000
5 Al 0.5000 0.5000 0.5000

Results
ρ ... 6.75 g/cm3
Electronic total energy ... -6.512 eV/atom
Spin magnetization ... 0.116 μB per atom
Calculated formation energy ... -0.185 eV per atom



This record from Alexandria via LeMat-Bulk describes a geometry-optimized SiAsRh structure. The functional is PBE.

Cell lengths 4.5081, 4.5081, 2.6871 Å; angles 90.00, 90.00, 120.00 degrees
Fractional positions:
1 As 0.0000 0.0000 0.3332
2 Rh 0.3333 0.6667 0.3337
3 Si 0.6667 0.3333 0.3330

Results
ρ ... 7.23 g/cm3
Electronic total energy ... -5.850 eV/atom
Spin magnetization ... 0.000 μB per atom



This record from Alexandria via LeMat-Bulk describes a geometry-optimized Rb2NaGaH6 structure. The functional is PBE.

Cell lengths 5.5311, 5.9473, 5.9473 Å; angles 120.00, 90.00, 90.00 degrees
Fractional positions:
1 Rb 0.1884 0.3333 0.6667
2 Rb 0.8116 0.6667 0.3333
3 Na 0.5000 0.0000 0.0000
4 Ga 0.0000 0.0000 0.0000
5 H 0.8100 0.1423 0.2846
6 H 0.8100 0.1423 0.8577
7 H 0.8100 0.7154 0.8577
8 H 0.1900 0.8577 0.1423
9 H 0.1900 0.2846 0.1423
10 H 0.1900 0.8577 0.7154

Results
ρ ... 2.64 g/cm3
Electronic total energy ... -2.742 eV/atom
Spin magnetization ... 0.000 μB per atom



This record from Alexandria via LeMat-Bulk describes a geometry-optimized Li4TmU3S8 structure. The functional is PBE.

Cell lengths 7.7060, 7.6844, 7.7059 Å; angles 120.10, 120.00, 90.00 degrees
Fractional positions:
1 Li 0.5000 0.0000 0.0000
2 Li 0.5000 0.0000 0.5000
3 Li 0.0000 0.0000 0.0000
4 Li 0.0000 0.0000 0.5000
5 Tm 0.0000 0.5000 0.0000
6 U 0.5000 0.5000 0.0000
7 U 0.5000 0.5000 0.5000
8 U 0.0000 0.5000 0.5000
9 S 0.2497 0.7549 0.0053
10 S 0.2497 0.7549 0.4994
11 S 0.2469 0.2408 0.4938
12 S 0.7555 0.7549 0.0053
13 S 0.2445 0.2451 0.9947
14 S 0.7531 0.7592 0.5062
15 S 0.7503 0.2451 0.5006
16 S 0.7503 0.2451 0.9947

Results
ρ ... 6.02 g/cm3
Electronic total energy ... -6.410 eV/atom
Spin magnetization ... 0.560 μB per atom



This record from Alexandria via LeMat-Bulk describes a geometry-optimized Nd8Al2Cu structure. The functional is PBE.

Cell lengths 5.1312, 8.7945, 8.8083 Å; angles 119.95, 106.93, 90.00 degrees
Fractional positions:
1 Nd 0.6570 0.8763 0.3140
2 Nd 0.3430 0.5623 0.6859
3 Nd 0.1340 0.1340 0.2681
4 Nd 0.0000 0.3288 0.0000
5 Nd 0.8660 0.8660 0.7319
6 Nd 0.6570 0.4377 0.3141
7 Nd 0.3430 0.1237 0.6860
8 Nd 0.0000 0.6712 0.0000
9 Al 0.1995 0.6995 0.3990
10 Al 0.8005 0.3005 0.6010
11 Cu 0.5000 0.0000 0.0000

Results
ρ ... 6.51 g/cm3
Electronic total energy ... -4.575 eV/atom
Spin magnetization ... 0.000 μB per atom
Calculated formation energy ... -0.055 eV per atom



This record from Alexandria via LeMat-Bulk describes a geometry-optimized CsNaTl2Au structure. The functional is PBE.

Cell lengths 5.3238, 4.6904, 7.6961 Å; angles 107.74, 110.24, 90.00 degrees
Fractional positions:
1 Cs 0.4327 0.4327 0.8654
2 Na 0.2106 0.7106 0.4213
3 Tl 0.6919 0.1919 0.3838
4 Tl 0.0485 0.0485 0.0970
5 Au 0.8284 0.8284 0.6568

Results
ρ ... 7.42 g/cm3
Electronic total energy ... -2.184 eV/atom
Spin magnetization ... 0.000 μB per atom
Calculated formation energy ... -0.148 eV per atom



This record from Alexandria via LeMat-Bulk describes a geometry-optimized BaMg2CdPd structure. The functional is PBE.

Cell lengths 5.1186, 5.1186, 5.4010 Å; angles 90.00, 90.00, 90.00 degrees
Fractional positions:
1 Mg 0.0000 0.5000 0.0000
2 Mg 0.5000 0.0000 0.0000
3 Ba 0.5000 0.5000 0.5000
4 Pd 0.0000 0.0000 0.0000
5 Cd 0.0000 0.0000 0.5000

Results
ρ ... 4.75 g/cm3
Electronic total energy ... -2.577 eV/atom
Spin magnetization ... 0.000 μB per atom
Calculated formation energy ... -0.333 eV per atom



This record from Alexandria via LeMat-Bulk describes a geometry-optimized Mg3GeIr structure. The functional is PBE.

Cell lengths 6.3618, 6.3618, 6.5892 Å; angles 110.49, 114.31, 102.19 degrees
Fractional positions:
1 Mg 0.8759 0.0308 0.2783
2 Mg 0.2475 0.4025 0.2783
3 Mg 0.7525 0.5975 0.7217
4 Mg 0.7014 0.4631 0.1645
5 Mg 0.1241 0.9692 0.7217
6 Mg 0.2986 0.5369 0.8355
7 Ge 0.7496 0.0988 0.8483
8 Ge 0.2504 0.9012 0.1517
9 Ir 0.5934 0.8117 0.4051
10 Ir 0.4066 0.1883 0.5949

Results
ρ ... 5.42 g/cm3
Electronic total energy ... -3.884 eV/atom
Spin magnetization ... 0.000 μB per atom
Calculated formation energy ... -0.231 eV per atom



This record from Alexandria via LeMat-Bulk describes a geometry-optimized K2Ba2Te structure. The functional is PBE.

Cell lengths 9.0092, 9.0092, 6.7527 Å; angles 90.00, 90.00, 90.00 degrees
Fractional positions:
1 K 0.3464 0.8464 0.0000
2 K 0.8464 0.6536 0.0000
3 K 0.6536 0.1536 0.0000
4 K 0.1536 0.3464 0.0000
5 Te 0.0000 0.0000 0.0000
6 Te 0.5000 0.5000 0.0000
7 Ba 0.1719 0.6719 0.5000
8 Ba 0.6719 0.8281 0.5000
9 Ba 0.8281 0.3281 0.5000
10 Ba 0.3281 0.1719 0.5000

Results
ρ ... 2.91 g/cm3
Electronic total energy ... -2.084 eV/atom
Spin magnetization ... 0.271 μB per atom



This record from Alexandria via LeMat-Bulk describes a geometry-optimized Np2ZnGe4Rh3 structure. The functional is PBE.

Cell lengths 4.2054, 4.2054, 10.2654 Å; angles 90.00, 90.00, 90.00 degrees
Fractional positions:
1 Np 0.5000 0.0000 0.2454
2 Np 0.0000 0.5000 0.7546
3 Zn 0.5000 0.5000 0.5000
4 Ge 0.5000 0.5000 0.0000
5 Ge 0.0000 0.0000 0.0000
6 Ge 0.5000 0.0000 0.6385
7 Ge 0.0000 0.5000 0.3615
8 Rh 0.0000 0.0000 0.5000
9 Rh 0.5000 0.0000 0.8734
10 Rh 0.0000 0.5000 0.1266

Results
ρ ... 10.42 g/cm3
Electronic total energy ... -7.164 eV/atom
Spin magnetization ... 0.750 μB per atom
Calculated formation energy ... -0.396 eV per atom



This record from Alexandria via LeMat-Bulk describes a geometry-optimized GaNiRu2C structure. The functional is PBE.

Cell lengths 4.0602, 4.0602, 3.7324 Å; angles 90.00, 90.00, 90.00 degrees
Fractional positions:
1 Ru 0.0000 0.5000 0.0000
2 Ru 0.5000 0.0000 0.0000
3 C 0.0000 0.0000 0.0000
4 Ga 0.5000 0.5000 0.5000
5 Ni 0.0000 0.0000 0.5000

Results
ρ ... 9.25 g/cm3
Electronic total energy ... -7.320 eV/atom
Spin magnetization ... 0.000 μB per atom
Calculated formation energy ... -0.003 eV per atom



This record from Alexandria via LeMat-Bulk describes a geometry-optimized BaCd2S structure. The functional is PBE.

Cell lengths 8.9798, 8.9798, 7.0365 Å; angles 50.35, 50.35, 90.00 degrees
Fractional positions:
1 S 0.5000 0.5000 0.0000
2 S 0.2500 0.7500 0.5000
3 Ba 0.0000 0.0000 0.0000
4 Ba 0.7500 0.2500 0.5000
5 Cd 0.5714 0.1250 0.2500
6 Cd 0.1786 0.6250 0.2500
7 Cd 0.3750 0.4286 0.7500
8 Cd 0.8750 0.8214 0.7500

Results
ρ ... 5.35 g/cm3
Electronic total energy ... -2.567 eV/atom
Spin magnetization ... 0.000 μB per atom



This record from Alexandria via LeMat-Bulk describes a geometry-optimized K2LiErCl6 structure. The functional is PBE.

Cell lengths 7.3081, 7.3081, 7.3080 Å; angles 59.99, 59.99, 59.99 degrees
Fractional positions:
1 K 0.7500 0.7500 0.7500
2 K 0.2500 0.2500 0.2500
3 Cl 0.7482 0.7481 0.2518
4 Cl 0.2518 0.7481 0.2518
5 Cl 0.7481 0.2518 0.2518
6 Cl 0.2518 0.2518 0.7481
7 Cl 0.7481 0.2518 0.7481
8 Cl 0.2518 0.7482 0.7481
9 Li 0.5000 0.5000 0.5000
10 Er 0.0000 0.0000 0.0000

Results
ρ ... 2.80 g/cm3
Electronic total energy ... -4.048 eV/atom
Spin magnetization ... 0.000 μB per atom



This record from Alexandria via LeMat-Bulk describes a geometry-optimized CoBP2Cl structure. The functional is PBE.

Cell lengths 3.7767, 3.7767, 6.4121 Å; angles 90.00, 90.00, 90.00 degrees
Fractional positions:
1 P 0.0000 0.5000 0.0000
2 P 0.5000 0.0000 0.0000
3 B 0.0000 0.0000 0.0000
4 Co 0.5000 0.5000 0.5000
5 Cl 0.0000 0.0000 0.5000

Results
ρ ... 3.03 g/cm3
Electronic total energy ... -4.303 eV/atom
Spin magnetization ... 0.479 μB per atom



This record from Alexandria via LeMat-Bulk describes a geometry-optimized K2SbSe structure. The functional is PBE.

Cell lengths 4.8058, 4.1142, 7.4504 Å; angles 56.71, 90.00, 90.00 degrees
Fractional positions:
1 K 0.0000 0.0109 0.9863
2 K 0.0000 0.4891 0.5137
3 Sb 0.5000 0.2500 0.2500
4 Se 0.5000 0.7500 0.7500

Results
ρ ... 3.76 g/cm3
Electronic total energy ... -2.952 eV/atom
Spin magnetization ... 0.000 μB per atom



This record from Alexandria via LeMat-Bulk describes a geometry-optimized ScTiAs2 structure. The functional is PBE.

Cell lengths 3.7523, 3.7523, 6.5665 Å; angles 73.40, 73.40, 60.00 degrees
Fractional positions:
1 Sc 0.5000 0.5000 0.5000
2 As 0.2543 0.2543 0.2371
3 As 0.7457 0.7457 0.7629
4 Ti 0.0000 0.0000 0.0000

Results
ρ ... 5.33 g/cm3
Electronic total energy ... -6.985 eV/atom
Spin magnetization ... 0.000 μB per atom
Calculated formation energy ... -1.103 eV per atom



This record from Alexandria via LeMat-Bulk describes a geometry-optimized Pm2BeBi structure. The functional is PBE.

Cell lengths 4.2057, 5.0276, 5.0276 Å; angles 90.00, 90.00, 90.00 degrees
Fractional positions:
1 Be 0.5000 0.0000 0.0000
2 Bi 0.5000 0.5000 0.5000
3 Pm 0.0000 0.0000 0.5000
4 Pm 0.0000 0.5000 0.0000

Results
ρ ... 7.93 g/cm3
Electronic total energy ... -4.433 eV/atom
Spin magnetization ... 0.000 μB per atom
Calculated formation energy ... -0.156 eV per atom